w.
Entry from Alexandria via LeMat-Bulk: crystalline CsAl2Ag2 at its relaxed geometry (PBE).

Cell and atoms, written as CIF:
```
data_CsAl2Ag2
_cell_length_a 8.6705
_cell_length_b 8.6705
_cell_length_c 3.2061
_cell_angle_alpha 90.00
_cell_angle_beta 90.00
_cell_angle_gamma 90.00
_space_group_name_H-M_alt 'P 4/m b m'
_space_group_IT_number 127
_space_group_name_Hall '-P 4 2ab'
loop_
_atom_site_label
_atom_site_type_symbol
_atom_site_fract_x
_atom_site_fract_y
_atom_site_fract_z
Cs1 Cs 0.0000 0.0000 0.0000
Al1 Al 0.1123 0.3877 0.0000
Ag1 Ag 0.1674 0.6674 0.5000
```



x.
Entry from Alexandria via LeMat-Bulk: crystalline CsAl2Ag2 at its relaxed geometry (PBE).

Cell and atoms, written as CIF:
```
data_CsAl2Ag2
_cell_length_a 4.8122
_cell_length_b 4.8122
_cell_length_c 12.5444
_cell_angle_alpha 90.00
_cell_angle_beta 90.00
_cell_angle_gamma 90.00
_space_group_name_H-M_alt 'I 4/m m m'
_space_group_IT_number 139
_space_group_name_Hall '-I 4 2'
loop_
_atom_site_label
_atom_site_type_symbol
_atom_site_fract_x
_atom_site_fract_y
_atom_site_fract_z
Cs1 Cs 0.0000 0.0000 0.0000
Al1 Al 0.0000 0.0000 0.3370
Ag1 Ag 0.0000 0.5000 0.2500
```



y.
Entry from Alexandria via LeMat-Bulk: crystalline CsAl2Ag2 at its relaxed geometry (PBE).

Cell and atoms, written as CIF:
```
data_CsAl2Ag2
_cell_length_a 8.9225
_cell_length_b 8.9225
_cell_length_c 3.0417
_cell_angle_alpha 90.00
_cell_angle_beta 90.00
_cell_angle_gamma 90.00
_space_group_name_H-M_alt 'P 4/m b m'
_space_group_IT_number 127
_space_group_name_Hall '-P 4 2ab'
loop_
_atom_site_label
_atom_site_type_symbol
_atom_site_fract_x
_atom_site_fract_y
_atom_site_fract_z
Cs1 Cs 0.0000 0.0000 0.0000
Al1 Al 0.1208 0.3792 0.5000
Ag1 Ag 0.1489 0.6489 0.0000
```



z.
Entry from Alexandria via LeMat-Bulk: crystalline CsAl2Ag2 at its relaxed geometry (PBE).

Cell and atoms, written as CIF:
```
data_CsAl2Ag2
_cell_length_a 4.5771
_cell_length_b 4.5771
_cell_length_c 14.2728
_cell_angle_alpha 90.00
_cell_angle_beta 90.00
_cell_angle_gamma 90.00
_space_group_name_H-M_alt 'I 4/m m m'
_space_group_IT_number 139
_space_group_name_Hall '-I 4 2'
loop_
_atom_site_label
_atom_site_type_symbol
_atom_site_fract_x
_atom_site_fract_y
_atom_site_fract_z
Cs1 Cs 0.0000 0.0000 0.0000
Al1 Al 0.0000 0.5000 0.2500
Ag1 Ag 0.0000 0.0000 0.3389
```



Pick z: it beats the second-best structure by 3.6 kJ/mol of atoms.



w.
Entry from Alexandria via LeMat-Bulk: crystalline Cs2AlAg at its relaxed geometry (PBE).

Cell and atoms, written as CIF:
```
data_Cs2AlAg
_cell_length_a 14.0505
_cell_length_b 14.0505
_cell_length_c 5.0121
_cell_angle_alpha 90.00
_cell_angle_beta 90.00
_cell_angle_gamma 90.00
_space_group_name_H-M_alt 'I -4 2 d'
_space_group_IT_number 122
_space_group_name_Hall 'I -4 2bw'
loop_
_atom_site_label
_atom_site_type_symbol
_atom_site_fract_x
_atom_site_fract_y
_atom_site_fract_z
Cs1 Cs 0.0662 0.2500 0.1250
Al1 Al 0.0000 0.0000 0.5000
Ag1 Ag 0.0000 0.0000 0.0000
```



x.
Entry from Alexandria via LeMat-Bulk: crystalline Cs2AlAg at its relaxed geometry (PBE).

Cell and atoms, written as CIF:
```
data_Cs2AlAg
_cell_length_a 9.1179
_cell_length_b 9.1179
_cell_length_c 9.1179
_cell_angle_alpha 90.00
_cell_angle_beta 90.00
_cell_angle_gamma 90.00
_space_group_name_H-M_alt 'F m -3 m'
_space_group_IT_number 225
_space_group_name_Hall '-F 4 2 3'
loop_
_atom_site_label
_atom_site_type_symbol
_atom_site_fract_x
_atom_site_fract_y
_atom_site_fract_z
Cs1 Cs 0.2500 0.2500 0.2500
Al1 Al 0.0000 0.0000 0.0000
Ag1 Ag 0.0000 0.0000 0.5000
```



Pick w: it beats the second-best structure by 25.9 kJ/mol of atoms.



w.
Entry from Alexandria via LeMat-Bulk: crystalline CsNa2AlAg at its relaxed geometry (PBE).

Cell and atoms, written as CIF:
```
data_CsNa2AlAg
_cell_length_a 6.0132
_cell_length_b 6.0132
_cell_length_c 5.1153
_cell_angle_alpha 90.00
_cell_angle_beta 90.00
_cell_angle_gamma 90.00
_space_group_name_H-M_alt 'P 4/m m m'
_space_group_IT_number 123
_space_group_name_Hall '-P 4 2'
loop_
_atom_site_label
_atom_site_type_symbol
_atom_site_fract_x
_atom_site_fract_y
_atom_site_fract_z
Cs1 Cs 0.0000 0.0000 0.0000
Na1 Na 0.0000 0.5000 0.5000
Al1 Al 0.5000 0.5000 0.5000
Ag1 Ag 0.5000 0.5000 0.0000
```



x.
Entry from Alexandria via LeMat-Bulk: crystalline CsNa2AlAg at its relaxed geometry (PBE).

Cell and atoms, written as CIF:
```
data_CsNa2AlAg
_cell_length_a 5.9701
_cell_length_b 5.9701
_cell_length_c 5.0166
_cell_angle_alpha 90.00
_cell_angle_beta 90.00
_cell_angle_gamma 90.00
_space_group_name_H-M_alt 'P 4/m m m'
_space_group_IT_number 123
_space_group_name_Hall '-P 4 2'
loop_
_atom_site_label
_atom_site_type_symbol
_atom_site_fract_x
_atom_site_fract_y
_atom_site_fract_z
Cs1 Cs 0.0000 0.0000 0.0000
Na1 Na 0.0000 0.5000 0.5000
Al1 Al 0.5000 0.5000 0.0000
Ag1 Ag 0.5000 0.5000 0.5000
```



Pick x: it beats the second-best structure by 2.8 kJ/mol of atoms.



w.
Entry from Alexandria via LeMat-Bulk: crystalline Al2CuAg at its relaxed geometry (PBE).

Cell and atoms, written as CIF:
```
data_Al2CuAg
_cell_length_a 8.8119
_cell_length_b 2.9155
_cell_length_c 4.8781
_cell_angle_alpha 90.00
_cell_angle_beta 101.02
_cell_angle_gamma 90.00
_space_group_name_H-M_alt 'C 1 2/m 1'
_space_group_IT_number 12
loop_
_space_group_symop_operation_xyz
'x,y,z'
'-x,-y,-z'
'-x,y,-z'
'x,-y,z'
'x+1/2,y+1/2,z'
'-x+1/2,-y+1/2,-z'
'-x+1/2,y+1/2,-z'
'x+1/2,-y+1/2,z'
loop_
_atom_site_label
_atom_site_type_symbol
_atom_site_fract_x
_atom_site_fract_y
_atom_site_fract_z
Al1 Al 0.2427 0.0000 0.2365
Cu1 Cu 0.0000 0.5000 0.0000
Ag1 Ag 0.0000 0.0000 0.5000
```



x.
Entry from Alexandria via LeMat-Bulk: crystalline Al2CuAg at its relaxed geometry (PBE).

Cell and atoms, written as CIF:
```
data_Al2CuAg
_cell_length_a 2.8233
_cell_length_b 3.6283
_cell_length_c 6.0046
_cell_angle_alpha 90.00
_cell_angle_beta 90.00
_cell_angle_gamma 90.00
_space_group_name_H-M_alt 'P m m m'
_space_group_IT_number 47
loop_
_space_group_symop_operation_xyz
'x,y,z'
'-x,-y,-z'
'-x,-y,z'
'x,y,-z'
'x,-y,-z'
'-x,y,z'
'-x,y,-z'
'x,-y,z'
loop_
_atom_site_label
_atom_site_type_symbol
_atom_site_fract_x
_atom_site_fract_y
_atom_site_fract_z
Al1 Al 0.0000 0.0000 0.2267
Cu1 Cu 0.5000 0.5000 0.0000
Ag1 Ag 0.5000 0.5000 0.5000
```



y.
Entry from Alexandria via LeMat-Bulk: crystalline Al2CuAg at its relaxed geometry (PBE).

Cell and atoms, written as CIF:
```
data_Al2CuAg
_cell_length_a 2.8646
_cell_length_b 2.8646
_cell_length_c 7.4757
_cell_angle_alpha 90.00
_cell_angle_beta 90.00
_cell_angle_gamma 90.00
_space_group_name_H-M_alt 'P 4/m m m'
_space_group_IT_number 123
_space_group_name_Hall '-P 4 2'
loop_
_atom_site_label
_atom_site_type_symbol
_atom_site_fract_x
_atom_site_fract_y
_atom_site_fract_z
Al1 Al 0.0000 0.0000 0.2194
Cu1 Cu 0.5000 0.5000 0.0000
Ag1 Ag 0.5000 0.5000 0.5000
```



Pick y: it beats the second-best structure by 1.6 kJ/mol of atoms.



w.
Entry from Alexandria via LeMat-Bulk: crystalline Al2CuAg at its relaxed geometry (PBE).

Cell and atoms, written as CIF:
```
data_Al2CuAg
_cell_length_a 2.9044
_cell_length_b 2.9044
_cell_length_c 25.4009
_cell_angle_alpha 90.00
_cell_angle_beta 90.00
_cell_angle_gamma 120.00
_space_group_name_H-M_alt 'R 3 m'
_space_group_IT_number 160
_space_group_name_Hall 'R 3 -2"'
loop_
_atom_site_label
_atom_site_type_symbol
_atom_site_fract_x
_atom_site_fract_y
_atom_site_fract_z
Al1 Al 0.0000 0.0000 0.0000
Al2 Al 0.0000 0.0000 0.1784
Cu1 Cu 0.0000 0.0000 0.5895
Ag1 Ag 0.0000 0.0000 0.7553
```



x.
Entry from Alexandria via LeMat-Bulk: crystalline Al2CuAg at its relaxed geometry (PBE).

Cell and atoms, written as CIF:
```
data_Al2CuAg
_cell_length_a 2.9442
_cell_length_b 4.9069
_cell_length_c 8.6889
_cell_angle_alpha 90.00
_cell_angle_beta 90.00
_cell_angle_gamma 90.00
_space_group_name_H-M_alt 'C m m m'
_space_group_IT_number 65
_space_group_name_Hall '-C 2 2'
loop_
_atom_site_label
_atom_site_type_symbol
_atom_site_fract_x
_atom_site_fract_y
_atom_site_fract_z
Al1 Al 0.0000 0.0000 0.2333
Cu1 Cu 0.0000 0.5000 0.0000
Ag1 Ag 0.0000 0.5000 0.5000
```



y.
Entry from Alexandria via LeMat-Bulk: crystalline Al2CuAg at its relaxed geometry (PBE).

Cell and atoms, written as CIF:
```
data_Al2CuAg
_cell_length_a 3.3890
_cell_length_b 3.3890
_cell_length_c 5.3906
_cell_angle_alpha 90.00
_cell_angle_beta 90.00
_cell_angle_gamma 90.00
_space_group_name_H-M_alt 'P 4 m m'
_space_group_IT_number 99
loop_
_space_group_symop_operation_xyz
'x,y,z'
'-y,x,z'
'-x,-y,z'
'y,-x,z'
'-x,y,z'
'y,x,z'
'x,-y,z'
'-y,-x,z'
loop_
_atom_site_label
_atom_site_type_symbol
_atom_site_fract_x
_atom_site_fract_y
_atom_site_fract_z
Al1 Al 0.0000 0.0000 0.0000
Al2 Al 0.5000 0.5000 0.2798
Cu1 Cu 0.0000 0.0000 0.4826
Ag1 Ag 0.5000 0.5000 0.7645
```



Pick w: it beats the second-best structure by 0.9 kJ/mol of atoms.